# 1
AgIrOs2 (PBE, relaxed); DOS at the Fermi energy = 6.72 states/eV/cell; ΔH_f (0 K) = 759 meV/atom; symmetry = P4/mmm, No. 123; relative energy among the computed polymorphs = 484 meV/atom; crystal system = tetragonal
1.0
3.9818 0.0000 0.0000
0.0000 3.8926 0.0000
0.0000 0.0000 3.8926
Os Ir Ag
2 1 1
Direct
0.0000 0.0000 0.0000 Os
0.0000 0.5000 0.5000 Os
0.5000 0.0000 0.5000 Ir
0.5000 0.5000 0.0000 Ag


# 2
ErTlPd5 (PBE, relaxed); DOS at the Fermi energy = 5.89 states/eV/cell; ΔH_f (0 K) = -482 meV/atom; symmetry = Cmcm, No. 63; crystal system = orthorhombic
1.0
4.8366 -0.0929 -0.7936
1.4464 4.6162 -0.7936
1.8874 1.3588 11.3524
Pd Er Tl
10 2 2
Direct
0.5014 0.9976 0.6232 Pd
0.9977 0.5014 0.3768 Pd
0.0018 0.9982 0.7500 Pd
0.4986 0.0024 0.3768 Pd
0.9982 0.0018 0.2500 Pd
0.4986 0.0023 0.1232 Pd
0.5014 0.9977 0.8768 Pd
0.9976 0.5014 0.1232 Pd
0.0023 0.4986 0.6232 Pd
0.0024 0.4986 0.8768 Pd
0.5026 0.4974 0.7500 Er
0.4974 0.5026 0.2500 Er
0.0000 0.0000 0.0000 Tl
0.0000 0.0000 0.5000 Tl


# 3
Sm4Y8Ho3 (PBE, relaxed); DOS at the Fermi energy = 30.56 states/eV/cell; ΔH_f (0 K) = 379 meV/atom; symmetry = C2/m, No. 12; relative energy among the computed polymorphs = 245 meV/atom; crystal system = monoclinic
1.0
-6.3120 0.2817 -2.4285
0.0353 -0.6994 9.2839
3.6051 8.5165 1.0746
Sm Y Ho
4 8 3
Direct
0.0000 0.5000 0.0000 Sm
0.0000 0.0000 0.5000 Sm
0.5000 0.0000 0.0000 Sm
0.0000 0.0000 0.0000 Sm
0.5205 0.2657 0.2657 Y
0.5000 0.7468 0.2532 Y
0.4795 0.7343 0.7343 Y
0.0000 0.3591 0.6409 Y
0.9959 0.7309 0.7309 Y
0.5000 0.2532 0.7468 Y
0.0041 0.2691 0.2691 Y
0.0000 0.6409 0.3591 Y
0.5000 0.5000 0.0000 Ho
0.5000 0.0000 0.5000 Ho
0.5000 0.5000 0.5000 Ho


# 4
Y3TmZn2 (PBE, relaxed); DOS at the Fermi energy = 6.62 states/eV/cell; ΔH_f (0 K) = -227 meV/atom; symmetry = P4/mmm, No. 123; relative energy among the computed polymorphs = 19 meV/atom; crystal system = tetragonal
1.0
-3.5509 0.4165 -0.0375
-0.1011 -1.1658 -3.3786
-1.3778 -11.3879 3.9709
Tm Y Zn
1 3 2
Direct
0.5000 0.5000 0.5000 Tm
0.0000 0.0000 0.7079 Y
0.0000 0.0000 0.2921 Y
0.0000 0.0000 0.0000 Y
0.5000 0.5000 0.8537 Zn
0.5000 0.5000 0.1463 Zn